First-principles (PBE) data for Tb2HfSc6 after structural relaxation, as listed in Alexandria.

a b c (Å): 9.0011 9.0011 3.2898
angles (deg): 90.00 90.00 120.00
Space group P-62m (No. 189)
Asymmetric unit:
Tb 0.3333 0.6667 0.0000 [2 per cell]
Hf 0.0000 0.0000 0.5000 [1 per cell]
Sc 0.0000 0.2948 0.0000 [3 per cell]
Sc 0.0000 0.6585 0.5000 [3 per cell]

---

First-principles (PBE) data for TbHfSc4 after structural relaxation, as listed in Alexandria.

Summary:
The calculation puts the energy above the most stable polymorph in this dataset at 0 meV per atom.

a b c (Å): 5.184 3.317 17.525
angles (deg): 90.00 90.00 90.00
Space group Amm2 (No. 38)
Asymmetric unit:
Tb 0.000 0.000 0.000 [2 per cell]
Hf 0.500 0.000 0.777 [2 per cell]
Sc 0.000 0.000 0.329 [2 per cell]
Sc 0.000 0.000 0.672 [2 per cell]
Sc 0.500 0.000 0.118 [2 per cell]
Sc 0.500 0.000 0.435 [2 per cell]

---

First-principles (PBE) data for TbHfThSc after structural relaxation, as listed in Alexandria.

a b c (Å): 7.574 7.574 7.574
angles (deg): 90.00 90.00 90.00
Space group F-43m (No. 216)
Asymmetric unit:
Tb 0.000 0.000 0.000 [4 per cell]
Hf 0.250 0.250 0.750 [4 per cell]
Th 0.000 0.000 0.500 [4 per cell]
Sc 0.250 0.250 0.250 [4 per cell]

---

First-principles (PBE) data for TbTmHfSc after structural relaxation, as listed in Alexandria.

a b c (Å): 7.531 7.531 7.531
angles (deg): 90.00 90.00 90.00
Space group F-43m (No. 216)
Asymmetric unit:
Tb 0.000 0.000 0.000 [4 per cell]
Tm 0.250 0.250 0.250 [4 per cell]
Hf 0.000 0.000 0.500 [4 per cell]
Sc 0.250 0.250 0.750 [4 per cell]

---

First-principles (PBE) data for Hf2ScTc after structural relaxation, as listed in Alexandria.

Summary:
The calculation puts the energy above the most stable polymorph in this dataset at 133 meV per atom.

a b c (Å): 6.772 6.772 6.772
angles (deg): 90.00 90.00 90.00
Space group Fm-3m (No. 225)
Asymmetric unit:
Hf 0.250 0.250 0.250 [8 per cell]
Sc 0.000 0.000 0.000 [4 per cell]
Tc 0.000 0.000 0.500 [4 per cell]

---

First-principles (PBE) data for HfSc4Tc after structural relaxation, as listed in Alexandria.

a b c (Å): 3.255 3.255 12.441
angles (deg): 90.00 90.00 90.00
Space group P4/mmm (No. 123)
Asymmetric unit:
Hf 0.000 0.000 0.000 [1 per cell]
Sc 0.000 0.000 0.377 [2 per cell]
Sc 0.500 0.500 0.172 [2 per cell]
Tc 0.500 0.500 0.500 [1 per cell]

---

What ΔE_f values result from the calculations? In sequence: 0.45, 0.10, 0.56, 0.99, -0.37, -0.42 eV/f.u..